[1]
A relaxed structure of Nd2GdAs. Source: Alexandria via LeMat-Bulk, functional GGA-PBE.

Cell: 9.806 9.806 9.806 Å, 23.63 23.63 23.63°
Fractional positions:
Nd 0.229 0.229 0.229
Nd 0.771 0.771 0.771
Gd 0.000 0.000 0.000
As 0.500 0.500 0.500

Calculated values
Its distance to the lowest polymorph of the same formula is 0.000 eV/atom. As for the formation energy: -0.5867 eV per atom.

[2]
A relaxed structure of NdGdAs2. Source: Alexandria via LeMat-Bulk, functional GGA-PBE.

Cell: 7.306 7.306 7.306 Å, 33.60 33.60 33.60°
Fractional positions:
Nd 0.000 0.000 0.000
Gd 0.500 0.500 0.500
As 0.248 0.248 0.248
As 0.752 0.752 0.752

Calculated values
As for the formation energy: -1.5216 eV per atom.

[3]
A relaxed structure of GdNi2As2. Source: Alexandria via LeMat-Bulk, functional GGA-PBE.

Cell: 5.759 5.759 5.759 Å, 138.72 138.72 59.80°
Fractional positions:
Gd 0.000 0.000 0.000
Ni 0.250 0.750 0.500
Ni 0.750 0.250 0.500
As 0.370 0.370 0.000
As 0.630 0.630 0.000

Calculated values
As for the formation energy: -0.7850 eV per atom.